Entry from Alexandria via LeMat-Bulk: a geometry-optimized K8Hg2H structure (PBE).

Values from the calculation:
final energy: -1.236 eV per atom

Cell: 4.4694 11.4798 10.7639 Å, 96.54 101.98 90.00°
With the nearest neighbours (Å) after each atom.
Atoms (fractional coordinates):
K: 0.3423 0.9974 0.6845  1 H 3.32, 2 Hg 3.58
K: 0.9982 0.8335 0.9963  2 H 2.94
K: 0.2099 0.3305 0.4199  2 Hg 3.56
K: 0.6577 0.0026 0.3155  1 H 3.32, 2 Hg 3.58
K: 0.4062 0.4454 0.8123  2 Hg 3.57
K: 0.7901 0.6695 0.5801  2 Hg 3.56
K: 0.5938 0.5546 0.1877  2 Hg 3.57
K: 0.0018 0.1665 0.0037  2 H 2.94
Hg: 0.1748 0.7642 0.3496  7 K 3.56-3.89
Hg: 0.8252 0.2358 0.6504  7 K 3.56-3.89
H: 0.5000 0.0000 0.0000  4 K 2.94